Entry 1:
A plane-wave DFT calculation with PBE-GGA was carried out for LaMnRe2 after structural relaxation.

Cell lengths 5.6834, 5.6834, 5.6834 Å; angles 147.75, 127.73, 62.76 degrees
With the nearest neighbours (Å) after each atom.
Sites, in units of the cell vectors:
La: 0.5099 0.5099 0.0000  6 Re 2.97-3.07, 2 La 3.16, 4 Mn 3.19-3.26
Mn: 0.2244 0.7244 0.5000  6 Re 2.81-3.01
Re: 0.9844 0.9844 0.0000  2 Re 2.53, 2 Mn 2.81
Re: 0.7813 0.2813 0.5000  2 Re 2.53

## Properties
ΔE_f ... 2.5 eV/f.u.
ΔE to the lowest computed polymorph ... 1.536 eV per formula unit
Space group ... No. 44

Entry 2:
A plane-wave DFT calculation with PBE-GGA was carried out for LaMn2Re after structural relaxation.

Cell lengths 5.9849, 5.0264, 2.9422 Å; angles 83.46, 72.53, 120.49 degrees
With the nearest neighbours (Å) after each atom.
Sites, in units of the cell vectors:
La: 0.5000 0.5000 0.0000  8 Mn 2.76-3.05, 2 Re 2.91, 2 La 2.94
Mn: 0.0000 0.0000 0.0000  4 La 2.76-3.05, 4 Re 2.76-3.05, 4 Mn 2.91-2.94
Mn: 0.5000 0.0000 0.5000  4 Re 2.76-3.05, 4 La 2.76-3.05, 4 Mn 2.91-2.94
Re: 0.0000 0.5000 0.5000  8 Mn 2.76-3.05, 2 La 2.91, 2 Re 2.94

## Properties
ΔE_f ... 2.6 eV/f.u.
ΔE to the lowest computed polymorph ... 1.630 eV per formula unit
Space group ... No. 12

Entry 3:
A plane-wave DFT calculation with PBE-GGA was carried out for LaMnRe2 after structural relaxation.

Cell lengths 5.8427, 5.8427, 5.8427 Å; angles 151.84, 131.76, 56.80 degrees
With the nearest neighbours (Å) after each atom.
Sites, in units of the cell vectors:
La: 0.7500 0.2500 0.5000  4 Mn 2.78, 2 La 2.84
Mn: 0.2500 0.7500 0.5000  4 Re 2.63, 4 La 2.78, 2 Mn 2.84
Re: 0.0347 0.0347 0.0000  2 Mn 2.63, 6 Re 2.84-2.87
Re: 0.4653 0.4653 0.0000  2 Mn 2.63, 6 Re 2.84-2.87

## Properties
ΔE_f ... 2.2 eV/f.u.
ΔE to the lowest computed polymorph ... 1.165 eV per formula unit
Space group ... No. 71

Entry 4:
A plane-wave DFT calculation with PBE-GGA was carried out for LaMnRe2 after structural relaxation.

Cell lengths 4.6308, 4.6308, 4.6308 Å; angles 60.00, 60.00, 60.00 degrees
With the nearest neighbours (Å) after each atom.
Sites, in units of the cell vectors:
La: 0.5000 0.5000 0.5000  4 Mn 2.84, 4 Re 2.84
Mn: 0.2500 0.2500 0.2500  4 La 2.84, 4 Re 2.84
Re: 0.0000 0.0000 0.0000  4 Re 2.84, 4 Mn 2.84
Re: 0.7500 0.7500 0.7500  4 Re 2.84, 4 La 2.84

## Properties
ΔE_f ... 2.3 eV/f.u.
ΔE to the lowest computed polymorph ... 1.324 eV per formula unit
Space group ... No. 216

Entry 5:
A plane-wave DFT calculation with PBE-GGA was carried out for La2MnRe after structural relaxation.

Cell lengths 3.1931, 3.1931, 9.7493 Å; angles 90.00, 90.00, 114.11 degrees
With the nearest neighbours (Å) after each atom.
Sites, in units of the cell vectors:
La: 0.0000 0.0000 0.9864  2 Re 2.89, 2 Mn 3.10, 4 La 3.19
La: 0.0000 0.0000 0.5136  2 Re 2.89, 2 Mn 3.10, 4 La 3.19
Mn: 0.5000 0.5000 0.2500  4 La 3.10, 6 Mn 3.19-3.47
Re: 0.5000 0.5000 0.7500  4 La 2.89, 4 Re 3.19

## Properties
ΔE_f ... 2.5 eV/f.u.
ΔE to the lowest computed polymorph ... 2.020 eV per formula unit
Space group ... No. 65

Entry 6:
A plane-wave DFT calculation with PBE-GGA was carried out for La2MnRe after structural relaxation.

Cell lengths 6.4327, 6.4327, 4.8336 Å; angles 67.88, 67.88, 32.19 degrees
With the nearest neighbours (Å) after each atom.
Sites, in units of the cell vectors:
La: 0.9831 0.9831 0.0167  4 Mn 3.14, 2 Re 3.33-3.34, 2 La 3.44
La: 0.7680 0.7680 0.7325  4 Re 3.15, 2 Mn 3.35-3.36, 2 La 3.44
Mn: 0.5633 0.5633 0.4357  2 Re 2.26
Re: 0.1856 0.1856 0.3151  2 Mn 2.26

## Properties
ΔE_f ... 1.1 eV/f.u.
ΔE to the lowest computed polymorph ... 0.643 eV per formula unit
Space group ... No. 8

Entry 7:
A plane-wave DFT calculation with PBE-GGA was carried out for LaMnRe2 after structural relaxation.

Cell lengths 4.9790, 3.8425, 3.8425 Å; angles 90.00, 90.00, 90.00 degrees
With the nearest neighbours (Å) after each atom.
Sites, in units of the cell vectors:
La: 0.5000 0.5000 0.0000  4 Mn 2.72
Mn: 0.5000 0.0000 0.5000  4 La 2.72
Re: 0.0000 0.0000 0.0000  4 Re 2.72
Re: 0.0000 0.5000 0.5000  4 Re 2.72

## Properties
ΔE_f ... 3.3 eV/f.u.
ΔE to the lowest computed polymorph ... 2.293 eV per formula unit
Space group ... No. 123

Entry 8:
A plane-wave DFT calculation with PBE-GGA was carried out for La3MnRe after structural relaxation.

Cell lengths 5.4699, 5.4699, 5.4699 Å; angles 90.00, 90.00, 90.00 degrees
With the nearest neighbours (Å) after each atom.
Sites, in units of the cell vectors:
Re: 0.0000 0.0000 0.0000  6 La 2.73
Mn: 0.5000 0.5000 0.5000  12 La 3.87
La: 0.0000 0.5000 0.0000  2 Re 2.73
La: 0.0000 0.0000 0.5000  2 Re 2.73
La: 0.5000 0.0000 0.0000  2 Re 2.73

## Properties
ΔE_f ... 2.5 eV/f.u.
ΔE to the lowest computed polymorph ... 0.000 eV per formula unit
Space group ... No. 221

Entry 9:
A plane-wave DFT calculation with PBE-GGA was carried out for LaMnReSi2 after structural relaxation.

Cell lengths 4.0930, 4.0930, 6.0886 Å; angles 109.64, 109.64, 90.00 degrees
With the nearest neighbours (Å) after each atom.
Sites, in units of the cell vectors:
La: 0.0000 0.0000 0.0000  8 Si 3.19, 4 Mn 3.37, 4 Re 3.37
Mn: 0.7500 0.2500 0.5000  4 Si 2.45
Re: 0.2500 0.7500 0.5000  4 Si 2.45
Si: 0.6250 0.6250 0.2500  2 Mn 2.45, 2 Re 2.45, 1 Si 2.68
Si: 0.3750 0.3750 0.7500  2 Mn 2.45, 2 Re 2.45, 1 Si 2.68

## Properties
Formation energy without anion corrections ... -521 meV per atom
Space group ... No. 119

Entry 10:
A plane-wave DFT calculation with PBE-GGA was carried out for LaY2MnRe after structural relaxation.

Cell lengths 5.4762, 5.3753, 5.4762 Å; angles 90.00, 90.00, 90.00 degrees
With the nearest neighbours (Å) after each atom.
Sites, in units of the cell vectors:
Y: 0.0000 0.0000 0.5000  2 Re 2.74
Y: 0.5000 0.0000 0.0000  2 Re 2.74
Re: 0.0000 0.0000 0.0000  2 La 2.69, 4 Y 2.74
Mn: 0.5000 0.5000 0.5000  8 Y 3.84, 4 La 3.87
La: 0.0000 0.5000 0.0000  2 Re 2.69

## Properties
ΔE_f ... 2.8 eV/f.u.
Space group ... No. 123

Entry 11:
A plane-wave DFT calculation with PBE-GGA was carried out for LaMn2Rh after structural relaxation.

Cell lengths 6.6749, 4.4156, 3.8078 Å; angles 88.53, 57.55, 121.63 degrees
With the nearest neighbours (Å) after each atom.
Sites, in units of the cell vectors:
La: 0.5000 0.5000 0.0000  2 Rh 2.82, 8 Mn 2.88-2.95
Mn: 0.0000 0.0000 0.0000  2 Mn 2.82, 4 La 2.88-2.95, 4 Rh 2.88-2.95
Mn: 0.5000 0.0000 0.5000  2 Mn 2.82, 4 Rh 2.88-2.95, 4 La 2.88-2.95
Rh: 0.0000 0.5000 0.5000  2 La 2.82, 8 Mn 2.88-2.95

## Properties
ΔE_f ... 0.8 eV/f.u.
Space group ... No. 12

Entry 12:
A plane-wave DFT calculation with PBE-GGA was carried out for LaMn2Rh after structural relaxation.

Cell lengths 5.6927, 5.6927, 5.6927 Å; angles 144.35, 132.79, 60.53 degrees
With the nearest neighbours (Å) after each atom.
Sites, in units of the cell vectors:
La: 0.2500 0.7500 0.5000  4 Rh 2.87, 4 Mn 3.17
Mn: 0.9742 0.9742 0.0000  2 Rh 2.81, 4 Mn 2.91
Mn: 0.5258 0.5258 0.0000  2 Rh 2.81, 4 Mn 2.91
Rh: 0.7500 0.2500 0.5000  4 Mn 2.81, 4 La 2.87

## Properties
ΔE_f ... 0.3 eV/f.u.
Space group ... No. 71

Q: Which total magnetic moment values were calculated for the entries above? A: 3.24, 5.86, 1.80, 2.11, 3.15, 0.28, 3.03, 4.12, 2.35, 4.33, 7.45, 8.11, in μB per formula unit.
Q: Which DOS at the Fermi energy values were calculated for the entries above? A: 4.5, 5.1, 4.7, 5.1, 4.2, 4.0, 5.1, 5.2, 3.4, 4.6, 3.3, 3.2, in states/eV per cell.
Q: Which V values were calculated for the entries above? A: 77, 69, 70, 70, 91, 98, 74, 164, 90, 161, 73, 78, in Å³ per cell.